Version a
Pr2ErCo: optimized geometry, PBE.

Magnetization (Bohr magnetons per cell): 0.0

Geometry as CIF:
```
data_Pr2ErCo
_cell_length_a 3.6664
_cell_length_b 3.6664
_cell_length_c 31.4971
_cell_angle_alpha 90.00
_cell_angle_beta 90.00
_cell_angle_gamma 120.00
_space_group_name_H-M_alt 'R -3 m'
_space_group_IT_number 166
_space_group_name_Hall '-R 3 2"'
loop_
_atom_site_label
_atom_site_fract_x
_atom_site_fract_y
_atom_site_fract_z
Pr1 0.0000 0.0000 0.1113
Er1 0.0000 0.0000 0.0000
Co1 0.0000 0.0000 0.5000
```

Version b
Pr2ErCo: optimized geometry, PBE.

Magnetization (Bohr magnetons per cell): 0.0

Geometry as CIF:
```
data_Pr2ErCo
_cell_length_a 3.8640
_cell_length_b 3.8640
_cell_length_c 27.5649
_cell_angle_alpha 90.00
_cell_angle_beta 90.00
_cell_angle_gamma 120.00
_space_group_name_H-M_alt 'R 3 m'
_space_group_IT_number 160
_space_group_name_Hall 'R 3 -2"'
loop_
_atom_site_label
_atom_site_fract_x
_atom_site_fract_y
_atom_site_fract_z
Pr1 0.0000 0.0000 0.0000
Pr2 0.0000 0.0000 0.2183
Er1 0.0000 0.0000 0.7767
Co1 0.0000 0.0000 0.3906
```

Verdict on stability: version b comes out on top.